The following is a DFT calculation (PBE) of a relaxed structure of ZnCu2HAu.

Cell and atoms, written as extended XYZ:
```
5
Lattice="-0.414 3.694 0.713 -2.166 -0.820 2.993 3.403 -0.090 2.438" Properties=species:S:1:pos:R:3 pbc="T T T"
H 0.000 0.000 0.000
Zn 0.412 1.392 3.072
Au 1.702 -0.045 1.219
Cu -1.083 -0.410 1.497
Cu -0.207 1.847 0.357
```

## Properties
E in eV/atom: -3.132
E above lowest polymorph in eV/atom: 0.067